# Os2AuI, optimized geometry, DFT GGA-PBE
data_Os2AuI
_chemical_formula_sum 'Os2 Au1 I1'
_cell_length_a 4.4706
_cell_length_b 4.4706
_cell_length_c 5.5257
_cell_angle_alpha 90.00
_cell_angle_beta 90.00
_cell_angle_gamma 120.00
_symmetry_space_group_name_H-M 'P 3 m 1'
_symmetry_Int_Tables_number 156
loop_
_symmetry_equiv_pos_as_xyz
'x,y,z'
'-y,x-y,z'
'-x+y,-x,z'
'-y,-x,z'
'-x+y,y,z'
'x,x-y,z'
loop_
_atom_site_label
_atom_site_type_symbol
_atom_site_fract_x
_atom_site_fract_y
_atom_site_fract_z
_atom_site_occupancy
Os1 Os 0.0000 0.0000 0.0000 1
Os2 Os 0.3333 0.6667 0.1245 1
Au1 Au 0.6667 0.3333 0.9952 1
I1 I 0.0000 0.0000 0.5233 1
# total DFT energy (no corrections)	-22.8	eV per formula unit
# magnetic moment	0.01	μB per atom